A plane-wave DFT calculation with PBEsol was carried out for a relaxed AlSb2Pt crystal.

Results
Size of the total moment: 0.000 μB/atom
Raw formation energy: -155 meV/atom
DOS at the Fermi energy: 1.73 states/eV/f.u.
Electronic total energy: -0.1910 hartree per atom

abc: 3.4184 3.4184 25.6930
angles: 90.00 90.00 120.00
Space group R3m (No. 160, hexagonal axes)
Asymmetric unit:
1 Al 0.0000 0.0000 0.0000 [3 per cell]
2 Sb 0.0000 0.0000 0.2433 [3 per cell]
3 Sb 0.0000 0.0000 0.4672 [3 per cell]
4 Pt 0.0000 0.0000 0.7280 [3 per cell]

A plane-wave DFT calculation with PBEsol was carried out for a relaxed LaMn4Cu3O12 crystal.

Results
Size of the total moment: 0.485 μB/atom
Raw formation energy: -1619 meV/atom
DOS at the Fermi energy: 5.60 states/eV/f.u.
Electronic total energy: -0.2807 hartree per atom

abc: 7.233 7.233 7.233
angles: 90.00 90.00 90.00
Space group Im-3 (No. 204)
Asymmetric unit:
1 La 0.000 0.000 0.000 [2 per cell]
2 Mn 0.250 0.250 0.250 [8 per cell]
3 Cu 0.000 0.000 0.500 [6 per cell]
4 O 0.000 0.303 0.181 [24 per cell]

A plane-wave DFT calculation with PBEsol was carried out for a relaxed SnSbN2 crystal.

Results
Size of the total moment: 0.000 μB/atom
Raw formation energy: 1135 meV/atom
DOS at the Fermi energy: 1.42 states/eV/f.u.
Electronic total energy: -0.1960 hartree per atom

abc: 6.031 6.031 6.031
angles: 90.00 90.00 90.00
Space group Fm-3m (No. 225)
Asymmetric unit:
1 Sn 0.000 0.000 0.000 [4 per cell]
2 Sb 0.000 0.000 0.500 [4 per cell]
3 N 0.250 0.250 0.250 [8 per cell]

A plane-wave DFT calculation with PBEsol was carried out for a relaxed BaAl2Ir crystal.

Results
Size of the total moment: 0.000 μB/atom
DOS at the Fermi energy: 2.17 states/eV/f.u.
Energy of formation: -0.5041 eV/atom
Electronic total energy: -0.2037 hartree per atom

abc: 4.3653 4.3653 17.7927
angles: 90.00 90.00 120.00
Space group R3m (No. 160, hexagonal axes)
Asymmetric unit:
1 Ba 0.0000 0.0000 0.0000 [3 per cell]
2 Al 0.0000 0.0000 0.5224 [3 per cell]
3 Al 0.0000 0.0000 0.8131 [3 per cell]
4 Ir 0.0000 0.0000 0.1802 [3 per cell]

A plane-wave DFT calculation with PBEsol was carried out for a relaxed LiAg4Sb crystal.

Results
Size of the total moment: 0.000 μB/atom
Raw formation energy: -67 meV/atom
DOS at the Fermi energy: 0.41 states/eV/f.u.
Electronic total energy: -0.1235 hartree per atom

abc: 7.697 7.697 7.697
angles: 90.00 90.00 90.00
Space group F-43m (No. 216)
Asymmetric unit:
1 Li 0.000 0.000 0.000 [4 per cell]
2 Ag 0.125 0.125 0.625 [16 per cell]
3 Sb 0.250 0.250 0.250 [4 per cell]

A plane-wave DFT calculation with PBEsol was carried out for a relaxed InHg4 crystal.

Results
Size of the total moment: 0.000 μB/atom
ΔE to the lowest computed polymorph: 11.91 kJ/mol of atoms
DOS at the Fermi energy: 1.29 states/eV/f.u.
Energy of formation: 0.1063 eV/atom
Electronic total energy: -0.0347 hartree per atom

abc: 6.654 6.654 6.654
angles: 90.00 90.00 90.00
Space group Im-3m (No. 229)
Asymmetric unit:
1 In 0.000 0.000 0.000 [2 per cell]
2 Hg 0.250 0.250 0.250 [8 per cell]

A plane-wave DFT calculation with PBEsol was carried out for a relaxed LaCo2Os crystal.

Results
Size of the total moment: 0.805 μB/atom
ΔE to the lowest computed polymorph: 59.22 kJ/mol of atoms
DOS at the Fermi energy: 6.94 states/eV/f.u.
Energy of formation: 0.6305 eV/atom
Electronic total energy: -0.2803 hartree per atom

abc: 6.301 6.301 6.301
angles: 90.00 90.00 90.00
Space group F-43m (No. 216)
Asymmetric unit:
1 La 0.000 0.000 0.000 [4 per cell]
2 Co 0.000 0.000 0.500 [4 per cell]
3 Co 0.250 0.250 0.750 [4 per cell]
4 Os 0.250 0.250 0.250 [4 per cell]

A plane-wave DFT calculation with PBEsol was carried out for a relaxed SbAu2 crystal.

Results
Size of the total moment: 0.000 μB/atom
Raw formation energy: 74 meV/atom
DOS at the Fermi energy: 1.29 states/eV/f.u.
Electronic total energy: -0.1493 hartree per atom

abc: 4.024 4.024 4.081
angles: 90.00 90.00 90.00
Space group P4/mmm (No. 123)
Asymmetric unit:
1 Sb 0.000 0.000 0.000 [1 per cell]
2 Au 0.000 0.500 0.500 [2 per cell]

A plane-wave DFT calculation with PBEsol was carried out for a relaxed Y3ZnRe crystal.

Results
Size of the total moment: 0.111 μB/atom
DOS at the Fermi energy: 7.48 states/eV/f.u.
Energy of formation: 1.0542 eV/atom
Electronic total energy: -0.2213 hartree per atom

abc: 5.109 5.109 5.109
angles: 90.00 90.00 90.00
Space group Pm-3m (No. 221)
Asymmetric unit:
1 Y 0.000 0.000 0.500 [3 per cell]
2 Zn 0.000 0.000 0.000 [1 per cell]
3 Re 0.500 0.500 0.500 [1 per cell]

A plane-wave DFT calculation with PBEsol was carried out for a relaxed BaBe2FeP crystal.

Results
Size of the total moment: 0.299 μB/atom
ΔE to the lowest computed polymorph: 97.37 kJ/mol of atoms
DOS at the Fermi energy: 3.68 states/eV/f.u.
Energy of formation: 0.9320 eV/atom
Electronic total energy: -0.1488 hartree per atom

abc: 4.356 4.356 5.123
angles: 90.00 90.00 90.00
Space group P4/mmm (No. 123)
Asymmetric unit:
1 Ba 0.000 0.000 0.000 [1 per cell]
2 Be 0.000 0.500 0.500 [2 per cell]
3 Fe 0.000 0.000 0.500 [1 per cell]
4 P 0.500 0.500 0.000 [1 per cell]

A plane-wave DFT calculation with PBEsol was carried out for a relaxed Na3CaPb crystal.

Results
Size of the total moment: 0.000 μB/atom
DOS at the Fermi energy: 2.08 states/eV/f.u.
Energy of formation: 0.1588 eV/atom
Electronic total energy: -0.0701 hartree per atom

abc: 5.826 5.826 5.826
angles: 90.00 90.00 90.00
Space group Pm-3m (No. 221)
Asymmetric unit:
1 Na 0.000 0.000 0.500 [3 per cell]
2 Ca 0.500 0.500 0.500 [1 per cell]
3 Pb 0.000 0.000 0.000 [1 per cell]

A plane-wave DFT calculation with PBEsol was carried out for a relaxed BaSb2TeCl crystal.

Results
Size of the total moment: 0.001 μB/atom
Raw formation energy: 807 meV/atom
DOS at the Fermi energy: 6.67 states/eV/f.u.
Electronic total energy: -0.0938 hartree per atom

abc: 6.245 6.245 6.143
angles: 90.00 90.00 90.00
Space group P4/mmm (No. 123)
Asymmetric unit:
1 Ba 0.000 0.000 0.000 [1 per cell]
2 Sb 0.000 0.500 0.000 [2 per cell]
3 Te 0.000 0.000 0.500 [1 per cell]
4 Cl 0.500 0.500 0.500 [1 per cell]